# 1
This record from the Alexandria database describes crystalline YIn2Au at its relaxed geometry. The functional is PBE.

a = 11.4751 Å, b = 11.4751 Å, c = 11.4751 Å
α = 158.26°, β = 158.26°, γ = 30.94°
Atoms (fractional coordinates):
1 Y 0.0000 0.0000 0.0000
2 Y 0.7500 0.2500 0.5000
3 In 0.1366 0.6250 0.0116
4 In 0.3750 0.3866 0.5116
5 In 0.6134 0.1250 0.9884
6 In 0.8750 0.8634 0.4884
7 Au 0.2500 0.7500 0.5000
8 Au 0.5000 0.5000 0.0000

N(E_F)   0.563 states/eV per atom
ΔH_f (0 K)   -0.29 eV per atom
Symmetry   I-42d, No. 122

---

# 2
This record from the Alexandria database describes crystalline Y2InAu2 at its relaxed geometry. The functional is PBE.

a = 7.9461 Å, b = 7.9461 Å, c = 3.7802 Å
α = 90.00°, β = 90.00°, γ = 90.00°
Atoms (fractional coordinates):
1 Y 0.1692 0.3308 0.0000
2 Y 0.3308 0.8308 0.0000
3 Y 0.6692 0.1692 0.0000
4 Y 0.8308 0.6692 0.0000
5 In 0.0000 0.0000 0.5000
6 In 0.5000 0.5000 0.5000
7 Au 0.1294 0.6294 0.5000
8 Au 0.3706 0.1294 0.5000
9 Au 0.6294 0.8706 0.5000
10 Au 0.8706 0.3706 0.5000

N(E_F)   0.650 states/eV per atom
ΔH_f (0 K)   -0.82 eV per atom
Symmetry   P4/mbm, No. 127

---

# 3
This record from the Alexandria database describes crystalline Y4InAu at its relaxed geometry. The functional is PBE.

a = 6.2225 Å, b = 6.2225 Å, c = 6.2225 Å
α = 60.00°, β = 60.00°, γ = 60.00°
Atoms (fractional coordinates):
1 Y 0.1254 0.1254 0.1254
2 Y 0.1254 0.1254 0.6237
3 Y 0.1254 0.6237 0.1254
4 Y 0.6237 0.1254 0.1254
5 In 0.5000 0.5000 0.5000
6 Au 0.7500 0.7500 0.7500

Polymorph energy (0 for the lowest one)   703 meV/atom
N(E_F)   1.181 states/eV per atom
ΔH_f (0 K)   0.23 eV per atom
Symmetry   F-43m, No. 216

---

# 4
This record from the Alexandria database describes crystalline YInAu4 at its relaxed geometry. The functional is PBE.

a = 5.6108 Å, b = 5.6108 Å, c = 5.6108 Å
α = 60.00°, β = 60.00°, γ = 60.00°
Atoms (fractional coordinates):
1 Y 0.0000 0.0000 0.0000
2 In 0.2500 0.2500 0.2500
3 Au 0.1250 0.6250 0.6250
4 Au 0.6250 0.1250 0.6250
5 Au 0.6250 0.6250 0.1250
6 Au 0.6250 0.6250 0.6250

Polymorph energy (0 for the lowest one)   86 meV/atom
N(E_F)   0.209 states/eV per atom
ΔH_f (0 K)   -0.43 eV per atom
Symmetry   F-43m, No. 216

---

# 5
This record from the Alexandria database describes crystalline YIn2Au at its relaxed geometry. The functional is PBE.

a = 9.3498 Å, b = 9.3498 Å, c = 9.3498 Å
α = 22.07°, β = 22.07°, γ = 22.07°
Atoms (fractional coordinates):
1 Y 0.0000 0.0000 0.0000
2 In 0.2392 0.2392 0.2392
3 In 0.7608 0.7608 0.7608
4 Au 0.5000 0.5000 0.5000

N(E_F)   0.672 states/eV per atom
ΔH_f (0 K)   -0.21 eV per atom
Symmetry   R-3m, No. 166

---

# 6
This record from the Alexandria database describes crystalline Y2In2Au at its relaxed geometry. The functional is PBE.

a = 7.6224 Å, b = 7.6224 Å, c = 4.8752 Å
α = 90.00°, β = 90.00°, γ = 90.00°
Atoms (fractional coordinates):
1 Y 0.1573 0.3427 0.0000
2 Y 0.3427 0.8427 0.0000
3 Y 0.6573 0.1573 0.0000
4 Y 0.8427 0.6573 0.0000
5 In 0.1462 0.6462 0.5000
6 In 0.3538 0.1462 0.5000
7 In 0.6462 0.8538 0.5000
8 In 0.8538 0.3538 0.5000
9 Au 0.0000 0.0000 0.0000
10 Au 0.5000 0.5000 0.0000

Polymorph energy (0 for the lowest one)   190 meV/atom
N(E_F)   0.840 states/eV per atom
ΔH_f (0 K)   -0.33 eV per atom
Symmetry   P4/mbm, No. 127

---

# 7
This record from the Alexandria database describes crystalline Y6In2Au at its relaxed geometry. The functional is PBE.

a = 5.9848 Å, b = 8.8707 Å, c = 11.2559 Å
α = 90.00°, β = 118.68°, γ = 90.00°
Atoms (fractional coordinates):
1 Y 0.0276 0.1764 0.4362
2 Y 0.0276 0.3236 0.9362
3 Y 0.3627 0.6720 0.4390
4 Y 0.3627 0.8280 0.9390
5 Y 0.3797 0.0248 0.2877
6 Y 0.3797 0.4752 0.7877
7 Y 0.6203 0.5248 0.2123
8 Y 0.6203 0.9752 0.7123
9 Y 0.6373 0.1720 0.0610
10 Y 0.6373 0.3280 0.5610
11 Y 0.9724 0.6764 0.0638
12 Y 0.9724 0.8236 0.5638
13 In 0.1758 0.1311 0.7481
14 In 0.1758 0.3689 0.2481
15 In 0.8242 0.6311 0.7519
16 In 0.8242 0.8689 0.2519
17 Au 0.0000 0.0000 0.0000
18 Au 0.0000 0.5000 0.5000

N(E_F)   1.382 states/eV per atom
ΔH_f (0 K)   -0.34 eV per atom
Symmetry   P2_1/c, No. 14

---

# 8
This record from the Alexandria database describes crystalline Y2InAu2 at its relaxed geometry. The functional is PBE.

a = 5.8673 Å, b = 5.8673 Å, c = 5.8673 Å
α = 123.72°, β = 123.72°, γ = 83.67°
Atoms (fractional coordinates):
1 Y 0.2500 0.7500 0.5000
2 Y 0.7500 0.2500 0.5000
3 In 0.0000 0.0000 0.0000
4 Au 0.3519 0.3519 0.0000
5 Au 0.6481 0.6481 0.0000

N(E_F)   0.620 states/eV per atom
ΔH_f (0 K)   -0.49 eV per atom
Symmetry   I4/mmm, No. 139